A plane-wave DFT calculation with PBE was carried out for a relaxed ScNb2H crystal.

The structure in CIF format:
```
data_ScNb2H
_chemical_formula_sum 'Sc3 Nb6 H3'
_symmetry_space_group_name_H-M 'R -3 m'
_symmetry_Int_Tables_number 166
_symmetry_space_group_name_Hall '-R 3 2"'
_cell_length_a 2.9595
_cell_length_b 2.9595
_cell_length_c 24.7678
_cell_angle_alpha 90.00
_cell_angle_beta 90.00
_cell_angle_gamma 120.00
loop_
_atom_site_label
_atom_site_type_symbol
_atom_site_fract_x
_atom_site_fract_y
_atom_site_fract_z
_atom_site_occupancy
Sc1 Sc 0.0000 0.0000 0.0000 1
Nb1 Nb 0.0000 0.0000 0.1135 1
H1 H 0.0000 0.0000 0.5000 1
```

Values from the calculation:
Energy above the lowest structure with this stoichiometry = 0.094 eV per atom
DOS(E_F) = 4.48 states/eV/f.u.
Total DFT energy (no corrections) = -7.218 eV/atom